(1)
GGA-PBE Mn2CrFeOs, optimized geometry; space group = P4/mmm, No. 123; total moment = 6.94 Bohr magnetons per cell
1.0
4.5514 0.0000 0.0000
0.0000 4.5514 0.0000
0.0000 0.0000 4.3996
Mn Cr Fe Os
2 1 1 1
direct
0.0000 0.5000 0.0000
0.5000 0.0000 0.0000
0.0000 0.0000 0.5000
0.5000 0.5000 0.5000
0.5000 0.5000 0.0000

=====

(2)
GGA-PBE Mn5CrFe2Os2, optimized geometry; space group = P4/mbm, No. 127; total moment = 2.43 Bohr magnetons per cell
1.0
7.9841 0.0000 0.0000
0.0000 7.9841 0.0000
0.0000 0.0000 3.7228
Mn Cr Fe Os
10 2 4 4
direct
0.0000 0.5000 0.0000
0.0694 0.1972 0.0000
0.1972 0.9306 0.0000
0.3028 0.4306 0.0000
0.4306 0.6972 0.0000
0.5000 0.0000 0.0000
0.5694 0.3028 0.0000
0.6972 0.5694 0.0000
0.8028 0.0694 0.0000
0.9306 0.8028 0.0000
0.0000 0.0000 0.5000
0.5000 0.5000 0.5000
0.1230 0.3770 0.5000
0.3770 0.8770 0.5000
0.6230 0.1230 0.5000
0.8770 0.6230 0.5000
0.1730 0.6730 0.5000
0.3270 0.1730 0.5000
0.6730 0.8270 0.5000
0.8270 0.3270 0.5000

=====

(3)
GGA-PBE MnCrFePt, optimized geometry; space group = F-43m, No. 216; total moment = 4.01 Bohr magnetons per cell
1.0
0.0000 3.0164 3.0164
3.0164 0.0000 3.0164
3.0164 3.0164 0.0000
Mn Cr Fe Pt
1 1 1 1
direct
0.0000 0.0000 0.0000
0.7500 0.7500 0.7500
0.5000 0.5000 0.5000
0.2500 0.2500 0.2500

=====

| no. | formation energy (eV/atom) | D(E_F) (states/eV/cell) |
| --- | --- | --- |
| 1 | 1.81 | 9.4 |
| 2 | 0.25 | 23.9 |
| 3 | 0.01 | 8.6 |